A relaxed CaPm2Hf crystal, computed with PBE.

The structure in extended XYZ format:
```
4
Lattice="3.382 0.000 0.000 1.691 2.929 0.000 1.691 0.976 12.617" Properties=species:S:1:pos:R:3 pbc="T T T"
Ca 3.382 1.953 6.309
Hf 0.000 0.000 0.000
Pm 1.691 0.976 9.546
Pm 5.073 2.929 3.072
```

Calculated values
size of the total moment = 0.00 μB/f.u.
D(E_F) = 5.3 states/eV/cell
E = -4.90 eV/atom

A relaxed CePmPtRh crystal, computed with PBE.

The structure in extended XYZ format:
```
4
Lattice="-0.384 3.022 2.368 -3.546 -1.717 1.616 3.245 -4.165 2.697" Properties=species:S:1:pos:R:3 pbc="T T T"
Ce 0.279 -1.298 4.845
Pm 0.871 -0.757 1.107
Pt -1.435 0.191 2.666
Rh 2.460 -2.138 3.128
```

Calculated values
size of the total moment = 0.32 μB/f.u.
D(E_F) = 5.7 states/eV/cell
E = -6.97 eV/atom

A relaxed Rb2BeIn2 crystal, computed with PBE.

The structure in extended XYZ format:
```
10
Lattice="7.168 0.000 0.000 0.000 7.168 0.000 0.000 0.000 6.411" Properties=species:S:1:pos:R:3 pbc="T T T"
Be 0.000 0.000 0.000
Be 3.584 3.584 0.000
Rb 1.274 4.858 3.205
Rb 4.858 5.894 3.205
Rb 5.894 2.310 3.205
Rb 2.310 1.274 3.205
In 2.460 6.044 0.000
In 6.044 4.708 0.000
In 4.708 1.124 0.000
In 1.124 2.460 0.000
```

Calculated values
size of the total moment = 0.00 μB/f.u.
D(E_F) = 9.3 states/eV/cell
E = -1.89 eV/atom

Per-record energy relative to the elements, eV per atom: 0.459 -0.955 0.337